1.
# Sc4PPb

An optimized crystal structure of Sc4PPb (GGA-PBEsol, the Alexandria database).

a b c (Å): 5.6565 5.6565 5.6565
angles (deg): 60.00 60.00 60.00
Fractional positions:
Sc1 0.1249 0.1249 0.1249
Sc2 0.1249 0.1249 0.6253
Sc3 0.1249 0.6253 0.1249
Sc4 0.6253 0.1249 0.1249
P1 0.5000 0.5000 0.5000
Pb1 0.7500 0.7500 0.7500

M_tot, μB/atom: 0.000
Formation enthalpy at 0 K, eV per atom: 0.100


2.
# ScPPb3

An optimized crystal structure of ScPPb3 (GGA-PBEsol, the Alexandria database).

a b c (Å): 5.4584 5.4584 5.4584
angles (deg): 90.00 90.00 90.00
Fractional positions:
Sc1 0.0000 0.0000 0.0000
P1 0.5000 0.5000 0.5000
Pb1 0.0000 0.0000 0.5000
Pb2 0.0000 0.5000 0.0000
Pb3 0.5000 0.0000 0.0000

M_tot, μB/atom: 0.000
Formation enthalpy at 0 K, eV per atom: 0.824


3.
# P2Pb3Se2

An optimized crystal structure of P2Pb3Se2 (GGA-PBEsol, the Alexandria database).

a b c (Å): 5.9545 5.9545 5.9545
angles (deg): 69.71 69.71 69.71
Fractional positions:
P1 0.0000 0.0000 0.0000
P2 0.5000 0.5000 0.5000
Pb1 0.0000 0.5000 0.5000
Pb2 0.5000 0.0000 0.5000
Pb3 0.5000 0.5000 0.0000
Se1 0.1747 0.1747 0.1747
Se2 0.8253 0.8253 0.8253

M_tot, μB/atom: 0.000
Energy relative to the elements, uncorrected, eV/f.u.: 1.35


4.
# P2PbSe2

An optimized crystal structure of P2PbSe2 (GGA-PBEsol, the Alexandria database).

a b c (Å): 5.3861 5.3861 5.3861
angles (deg): 122.34 122.34 86.00
Fractional positions:
P1 0.1355 0.1355 0.0000
P2 0.8645 0.8645 0.0000
Pb1 0.5000 0.5000 0.0000
Se1 0.2500 0.7500 0.5000
Se2 0.7500 0.2500 0.5000

M_tot, μB/atom: 0.000
Energy relative to the elements, uncorrected, eV/f.u.: 1.10


5.
# SiP2Pb

An optimized crystal structure of SiP2Pb (GGA-PBEsol, the Alexandria database).

a b c (Å): 6.1109 6.1109 6.1109
angles (deg): 113.49 113.49 101.70
Fractional positions:
Si1 0.0000 0.0000 0.0000
Si2 0.7500 0.2500 0.5000
P1 0.0439 0.1250 0.4189
P2 0.3750 0.9561 0.0811
P3 0.7061 0.6250 0.5811
P4 0.8750 0.2939 0.9189
Pb1 0.2500 0.7500 0.5000
Pb2 0.5000 0.5000 0.0000

M_tot, μB/atom: 0.000
Energy relative to the elements, uncorrected, eV/f.u.: -0.01


6.
# Si2PPb

An optimized crystal structure of Si2PPb (GGA-PBEsol, the Alexandria database).

a b c (Å): 5.6871 5.6871 5.6871
angles (deg): 139.44 139.44 58.70
Fractional positions:
Si1 0.2500 0.7500 0.5000
Si2 0.7500 0.2500 0.5000
P1 0.0000 0.0000 0.0000
Pb1 0.5000 0.5000 0.0000

M_tot, μB/atom: 0.000
Energy relative to the elements, uncorrected, eV/f.u.: 2.51


no.,DFT total energy (eV/atom),V (Å³/cell)
1,-5.93,128
2,-4.05,163
3,-4.28,179
4,-4.44,106
5,-5.33,173
6,-4.69,77